The following is a PBE calculation of a relaxed structure of TmMgAgTe2S, from OQMD via LeMat-Bulk.

The total energy is -4.044 eV per atom.

a b c (Å): 7.2818 7.2818 10.4645
angles (deg): 90.00 90.00 147.18
Closest atoms and distances in Å follow each position.
Atoms (fractional coordinates):
Te1 0.6540 0.3460 0.9366  1 Ag 2.75, 2 Tm 3.05
Te2 0.3460 0.6540 0.0634  1 Ag 2.75, 2 Tm 3.05
Te3 0.3460 0.6540 0.4366  1 Ag 2.75, 2 Tm 3.05
Te4 0.6540 0.3460 0.5634  1 Ag 2.75, 2 Tm 3.05
Ag1 0.5155 0.4845 0.7500  2 S 2.59, 2 Te 2.75
Ag2 0.4845 0.5155 0.2500  2 S 2.59, 2 Te 2.75
S1 0.9026 0.0974 0.7500  2 Ag 2.59, 2 Mg 2.67
S2 0.0974 0.9026 0.2500  2 Ag 2.59, 2 Mg 2.67
Tm1 0.0000 0.0000 0.0000  2 S 2.95, 4 Te 3.05
Tm2 0.0000 0.0000 0.5000  2 S 2.95, 4 Te 3.05
Mg1 0.7194 0.2806 0.2500  2 S 2.67
Mg2 0.2806 0.7194 0.7500  2 S 2.67

---

The following is a PBE calculation of a relaxed structure of TcSbPO, from OQMD via LeMat-Bulk.

The distance to the lowest polymorph of the same formula is 0 kJ/mol of formula units.

a b c (Å): 3.8803 3.8803 8.7246
angles (deg): 90.00 90.00 90.00
Closest atoms and distances in Å follow each position.
Atoms (fractional coordinates):
O1 0.5000 0.5000 0.0000  4 Sb 2.28
O2 0.0000 0.0000 0.0000  4 Sb 2.28
Tc1 0.0000 0.0000 0.5000  4 P 2.38
Tc2 0.5000 0.5000 0.5000  4 P 2.38
Sb1 0.0000 0.5000 0.1381  4 O 2.28
Sb2 0.5000 0.0000 0.8619  4 O 2.28
P1 0.5000 0.0000 0.3412  4 Tc 2.38
P2 0.0000 0.5000 0.6588  4 Tc 2.38

---

The following is a PBE calculation of a relaxed structure of YEr2Ge3PdPt2, from OQMD via LeMat-Bulk.

The total energy is -6.217 eV per atom.

a b c (Å): 3.8952 7.2243 7.2243
angles (deg): 120.17 90.00 90.00
Closest atoms and distances in Å follow each position.
Atoms (fractional coordinates):
Pd1 0.0000 0.0027 0.0027  6 Ge 2.67-2.69, 2 Er 2.92, 1 Y 2.94
Y1 0.0000 0.5940 0.5940  1 Pd 2.94, 4 Pt 2.95, 6 Ge 3.12-3.22
Ge1 0.5000 0.2560 0.2560  2 Pd 2.67, 2 Pt 2.74
Ge2 0.5000 0.0004 0.7441  2 Pd 2.69, 2 Pt 2.70-2.74
Ge3 0.5000 0.7441 0.0004  2 Pd 2.69, 2 Pt 2.70-2.74
Er1 0.0000 0.4056 0.9998  4 Pt 2.92, 1 Pd 2.92, 6 Ge 3.12-3.22
Er2 0.0000 0.9998 0.4056  4 Pt 2.92, 1 Pd 2.92, 6 Ge 3.12-3.22
Pt1 0.5000 0.3301 0.6674  3 Ge 2.70-2.74, 4 Er 2.92, 2 Y 2.95
Pt2 0.5000 0.6674 0.3301  3 Ge 2.70-2.74, 4 Er 2.92, 2 Y 2.95

---

The following is a PBE calculation of a relaxed structure of TaCuAgB, from OQMD via LeMat-Bulk.

The distance to the lowest polymorph of the same formula is 0 kJ/mol of formula units.

a b c (Å): 4.2675 4.2675 4.2675
angles (deg): 60.00 60.00 60.00
Closest atoms and distances in Å follow each position.
Atoms (fractional coordinates):
Ta1 0.2500 0.2500 0.2500  4 Ag 2.61, 4 B 2.61
Ag1 0.5000 0.5000 0.5000  4 Ta 2.61, 4 Cu 2.61
Cu1 0.7500 0.7500 0.7500  4 B 2.61, 4 Ag 2.61
B1 0.0000 0.0000 0.0000  4 Cu 2.61, 4 Ta 2.61

---

The following is a PBE calculation of a relaxed structure of Y3Si2Ni3, from OQMD via LeMat-Bulk.

The total energy is -5.728 eV per atom.

a b c (Å): 4.3367 4.3367 9.4137
angles (deg): 90.00 90.00 90.00
Closest atoms and distances in Å follow each position.
Atoms (fractional coordinates):
Ni1 0.0000 0.0000 0.2703  1 Ni 2.16, 2 Si 2.21
Ni2 0.0000 0.0000 0.5000  2 Ni 2.16
Ni3 0.0000 0.0000 0.7297  1 Ni 2.16, 2 Si 2.21
Y1 0.5000 0.5000 0.0000  4 Si 3.03, 4 Y 3.07
Y2 0.5000 0.5000 0.5000  4 Ni 3.07, 4 Si 3.37
Y3 0.0000 0.0000 0.0000  2 Ni 2.54
Si1 0.5000 0.0000 0.7744  2 Ni 2.21
Si2 0.0000 0.5000 0.2256  2 Ni 2.21

---

The following is a PBE calculation of a relaxed structure of ScGa2Co2, from OQMD via LeMat-Bulk.

The total energy is -5.609 eV per atom.

a b c (Å): 5.6384 5.6384 5.6384
angles (deg): 139.31 139.31 58.90
Closest atoms and distances in Å follow each position.
Atoms (fractional coordinates):
Sc1 0.0000 0.0000 0.0000  8 Co 2.97, 8 Ga 3.14
Ga1 0.7500 0.2500 0.5000  4 Co 2.40
Ga2 0.2500 0.7500 0.5000  4 Co 2.40
Co1 0.3915 0.3915 0.0000  1 Co 2.13
Co2 0.6085 0.6085 0.0000  1 Co 2.13

---

The following is a PBE calculation of a relaxed structure of BaDyGaTe3, from OQMD via LeMat-Bulk.

The total energy is -4.229 eV per atom.

a b c (Å): 7.8898 7.8898 11.8300
angles (deg): 90.00 90.00 145.94
Closest atoms and distances in Å follow each position.
Atoms (fractional coordinates):
Te1 0.8593 0.1407 0.0339  1 Ga 3.02, 2 Dy 3.16
Te2 0.8593 0.1407 0.4661  1 Ga 3.02, 2 Dy 3.16
Te3 0.5839 0.4161 0.2500  2 Ga 2.92, 2 Dy 3.22
Te4 0.1407 0.8593 0.9661  1 Ga 3.02, 2 Dy 3.16
Te5 0.4161 0.5839 0.7500  2 Ga 2.92, 2 Dy 3.22
Te6 0.1407 0.8593 0.5339  1 Ga 3.02, 2 Dy 3.16
Ga1 0.0343 0.9657 0.7500  4 Te 2.92-3.02
Ga2 0.9657 0.0343 0.2500  4 Te 2.92-3.02
Dy1 0.5000 0.5000 0.5000  6 Te 3.16-3.22
Dy2 0.5000 0.5000 0.0000  6 Te 3.16-3.22
Ba1 0.7399 0.2601 0.7500  8 Te 3.52-3.81, 2 Ga 3.87
Ba2 0.2601 0.7399 0.2500  8 Te 3.52-3.81, 2 Ga 3.87

---

The following is a PBE calculation of a relaxed structure of Ag2PbSe2, from OQMD via LeMat-Bulk.

The distance to the lowest polymorph of the same formula is 23 kJ/mol of formula units.

a b c (Å): 4.3827 8.2748 7.3430
angles (deg): 90.00 113.80 90.00
Closest atoms and distances in Å follow each position.
Atoms (fractional coordinates):
Pb1 0.0000 0.5000 0.5000  6 Se 3.07-3.39, 2 Ag 3.27
Pb2 0.0000 0.0000 0.0000  6 Se 3.07-3.39, 2 Ag 3.27
Se1 0.2825 0.1355 0.7103  4 Ag 2.60-2.79
Se2 0.2825 0.3645 0.2103  4 Ag 2.60-2.79
Se3 0.7175 0.6355 0.7897  4 Ag 2.60-2.79
Se4 0.7175 0.8645 0.2897  4 Ag 2.60-2.79
Ag1 0.3656 0.6495 0.0330  4 Se 2.60-2.79, 1 Ag 2.86
Ag2 0.3656 0.8505 0.5330  4 Se 2.60-2.79, 1 Ag 2.86
Ag3 0.6344 0.1495 0.4670  4 Se 2.60-2.79, 1 Ag 2.86
Ag4 0.6344 0.3505 0.9670  4 Se 2.60-2.79, 1 Ag 2.86

---

The following is a PBE calculation of a relaxed structure of LiYCd2Au4, from OQMD via LeMat-Bulk.

The total energy is -3.423 eV per atom.

a b c (Å): 4.8332 4.8332 6.7507
angles (deg): 90.00 90.00 90.00
Closest atoms and distances in Å follow each position.
Atoms (fractional coordinates):
Li1 0.0000 0.0000 0.0000  8 Au 2.88
Cd1 0.0000 0.0000 0.5000  8 Au 3.02, 2 Li 3.38
Cd2 0.5000 0.5000 0.0000  8 Au 2.88
Au1 0.5000 0.0000 0.7687  2 Li 2.88, 4 Cd 2.88-3.02, 2 Y 3.02, 1 Au 3.12
Au2 0.0000 0.5000 0.7687  4 Cd 2.88-3.02, 2 Li 2.88, 2 Y 3.02, 1 Au 3.12
Au3 0.0000 0.5000 0.2313  4 Cd 2.88-3.02, 2 Li 2.88, 2 Y 3.02, 1 Au 3.12
Au4 0.5000 0.0000 0.2313  2 Li 2.88, 4 Cd 2.88-3.02, 2 Y 3.02, 1 Au 3.12
Y1 0.5000 0.5000 0.5000  8 Au 3.02, 2 Cd 3.38

---

The following is a PBE calculation of a relaxed structure of ThAgB4, from OQMD via LeMat-Bulk.

The distance to the lowest polymorph of the same formula is 0 kJ/mol of formula units.

a b c (Å): 5.3208 5.3208 5.3208
angles (deg): 145.08 118.29 72.91
Closest atoms and distances in Å follow each position.
Atoms (fractional coordinates):
Th1 0.5000 0.5000 0.0000  12 B 2.79-2.82
B1 0.9224 0.2404 0.6820  2 B 1.77
B2 0.4417 0.7596 0.6820  2 B 1.77
B3 0.5583 0.2404 0.3180  2 B 1.77
B4 0.0776 0.7596 0.3180  2 B 1.77
Ag1 0.0000 0.0000 0.0000  12 B 2.69-2.91

---

The following is a PBE calculation of a relaxed structure of RbSiTe2AuSe, from OQMD via LeMat-Bulk.

The total energy is -3.431 eV per atom.

a b c (Å): 8.6994 8.6994 10.9034
angles (deg): 90.00 90.00 154.21
Closest atoms and distances in Å follow each position.
Atoms (fractional coordinates):
Te1 0.3847 0.6153 0.4873  1 Au 2.63, 2 Si 2.76
Te2 0.6153 0.3847 0.5127  1 Au 2.63, 2 Si 2.76
Te3 0.3847 0.6153 0.0127  1 Au 2.63, 2 Si 2.76
Te4 0.6153 0.3847 0.9873  1 Au 2.63, 2 Si 2.76
Se1 0.0341 0.9659 0.2500  2 Si 2.79, 2 Au 2.84
Se2 0.9659 0.0341 0.7500  2 Si 2.79, 2 Au 2.84
Si1 0.0000 0.0000 0.0000  4 Te 2.76, 2 Se 2.79
Si2 0.0000 0.0000 0.5000  4 Te 2.76, 2 Se 2.79
Au1 0.5881 0.4119 0.7500  2 Te 2.63, 2 Se 2.84
Au2 0.4119 0.5881 0.2500  2 Te 2.63, 2 Se 2.84
Rb1 0.2615 0.7385 0.7500  2 Au 3.52, 2 Te 3.54, 2 Rb 3.88
Rb2 0.7385 0.2615 0.2500  2 Au 3.52, 2 Te 3.54, 2 Rb 3.88

---

The following is a PBE calculation of a relaxed structure of Rb2MgReO6, from OQMD via LeMat-Bulk.

The total energy is -6.264 eV per atom.

a b c (Å): 5.6820 5.6820 5.6820
angles (deg): 60.00 60.00 60.00
Closest atoms and distances in Å follow each position.
Atoms (fractional coordinates):
Rb1 0.2500 0.2500 0.2500  12 O 2.84
Rb2 0.7500 0.7500 0.7500  12 O 2.84
O1 0.7361 0.2639 0.2639  1 Re 1.90, 1 Mg 2.12
O2 0.2639 0.7361 0.7361  1 Re 1.90, 1 Mg 2.12
O3 0.2639 0.7361 0.2639  1 Re 1.90, 1 Mg 2.12
O4 0.7361 0.7361 0.2639  1 Re 1.90, 1 Mg 2.12
O5 0.7361 0.2639 0.7361  1 Re 1.90, 1 Mg 2.12
O6 0.2639 0.2639 0.7361  1 Re 1.90, 1 Mg 2.12
Re1 0.5000 0.5000 0.5000  6 O 1.90
Mg1 0.0000 0.0000 0.0000  6 O 2.12